PaTlPd2O6 | PBE-GGA | relaxed

The value obtained for the formation energy without anion corrections is -1.403 eV per atom. The spin magnetization comes out at 6.1 Bohr magnetons per cell. As for the total energy: -198.087 eV for the cell shown.

The structure belongs to space group R-3 (No. 148, hexagonal axes); the cell edges are 5.6515, 5.6515 and 20.0674 Å and the angles 90.00°, 90.00° and 120.00°. Symmetry generates all atoms from Pa at (0.0000, 0.0000, 0.0000), Tl at (0.0000, 0.0000, 0.5000), Pd at (0.0000, 0.0000, 0.3312) and O at (0.0045, 0.6601, 0.0532).